First-principles (PBE) data for a relaxed NaMgTeN2 crystal, as listed in Alexandria via LeMat-Bulk.

Properties
Relative energy among the computed polymorphs in kcal/mol of atoms: 0.00
Energy in eV per atom: -3.59
Energy relative to the elements, uncorrected in kJ/mol of formula units: 459

Cell lengths 4.355, 4.355, 5.875 Å; angles 90.00, 90.00, 90.00 degrees
Space group P4/mmm (No. 123)
Symmetry-distinct sites (fractional):
Na 0.000 0.000 0.000 [1 per cell]
Mg 0.500 0.500 0.500 [1 per cell]
Te 0.500 0.500 0.000 [1 per cell]
N 0.000 0.500 0.500 [2 per cell]

=====

First-principles (PBE) data for a relaxed AlH3O crystal, as listed in Alexandria via LeMat-Bulk.

Properties
Relative energy among the computed polymorphs in kcal/mol of atoms: 5.56
Energy in eV per atom: -2.96

Cell lengths 3.355, 3.355, 3.355 Å; angles 90.00, 90.00, 90.00 degrees
Space group Pm-3m (No. 221)
Symmetry-distinct sites (fractional):
Al 0.000 0.000 0.000 [1 per cell]
H 0.000 0.500 0.500 [3 per cell]
O 0.500 0.500 0.500 [1 per cell]

=====

First-principles (PBE) data for a relaxed Te3SeS4 crystal, as listed in Alexandria via LeMat-Bulk.

Properties
Energy in eV per atom: -3.52
Energy relative to the elements, uncorrected in kJ/mol of formula units: 120

Cell lengths 5.980, 6.540, 6.827 Å; angles 84.58, 70.38, 71.90 degrees
Space group P-1 (No. 2)
Symmetry-distinct sites (fractional):
Te 0.000 0.000 0.000 [1 per cell]
Te 0.317 0.347 0.306 [2 per cell]
Se 0.500 0.000 0.000 [1 per cell]
S 0.163 0.694 0.530 [2 per cell]
S 0.236 0.609 0.812 [2 per cell]

=====

First-principles (PBE) data for a relaxed PmTmMgAl crystal, as listed in Alexandria via LeMat-Bulk.

Properties
Energy in eV per atom: -3.90
Formation enthalpy at 0 K in eV/atom: -0.26

Cell lengths 7.394, 7.394, 7.394 Å; angles 90.00, 90.00, 90.00 degrees
Space group F-43m (No. 216)
Symmetry-distinct sites (fractional):
Pm 0.000 0.000 0.000 [4 per cell]
Tm 0.000 0.000 0.500 [4 per cell]
Mg 0.250 0.250 0.250 [4 per cell]
Al 0.250 0.250 0.750 [4 per cell]

=====

First-principles (PBE) data for a relaxed La2TbDy crystal, as listed in Alexandria via LeMat-Bulk.

Properties
Relative energy among the computed polymorphs in kcal/mol of atoms: 0.32
Energy in eV per atom: -4.75
Formation enthalpy at 0 K in eV/atom: 0.02

Cell lengths 7.397, 10.005, 3.714 Å; angles 90.00, 90.00, 90.00 degrees
Space group Cmmm (No. 65)
Symmetry-distinct sites (fractional):
La 0.250 0.250 0.000 [4 per cell]
Tb 0.000 0.000 0.500 [2 per cell]
Dy 0.000 0.500 0.500 [2 per cell]

=====

First-principles (PBE) data for a relaxed PrInF crystal, as listed in Alexandria via LeMat-Bulk.

Properties
Relative energy among the computed polymorphs in kcal/mol of atoms: 0.00
Energy in eV per atom: -4.89
Energy relative to the elements, uncorrected in kJ/mol of formula units: -509

Cell lengths 3.572, 3.572, 10.070 Å; angles 90.00, 90.00, 90.00 degrees
Space group P4/nmm (No. 129, origin choice 2)
Symmetry-distinct sites (fractional):
Pr 0.250 0.250 0.180 [2 per cell]
In 0.250 0.250 0.595 [2 per cell]
F 0.250 0.250 0.935 [2 per cell]

=====

First-principles (PBE) data for a relaxed BeNiW crystal, as listed in Alexandria via LeMat-Bulk.

Properties
Relative energy among the computed polymorphs in kcal/mol of atoms: 5.16
Energy in eV per atom: -7.51
Formation enthalpy at 0 K in eV/atom: -0.02

Cell lengths 3.9172, 3.9172, 2.6423 Å; angles 90.00, 90.00, 120.00 degrees
Space group P-6m2 (No. 187)
Symmetry-distinct sites (fractional):
Be 0.0000 0.0000 0.0000 [1 per cell]
Ni 0.6667 0.3333 0.0000 [1 per cell]
W 0.3333 0.6667 0.5000 [1 per cell]

=====

First-principles (PBE) data for a relaxed Sr3Cl crystal, as listed in Alexandria via LeMat-Bulk.

Properties
Relative energy among the computed polymorphs in kcal/mol of atoms: 2.66
Energy in eV per atom: -2.43
Energy relative to the elements, uncorrected in kJ/mol of formula units: -274

Cell lengths 3.957, 3.957, 10.821 Å; angles 90.00, 90.00, 90.00 degrees
Space group P4/mmm (No. 123)
Symmetry-distinct sites (fractional):
Sr 0.000 0.000 0.000 [1 per cell]
Sr 0.500 0.500 0.295 [2 per cell]
Cl 0.000 0.000 0.500 [1 per cell]

=====

First-principles (PBE) data for a relaxed Hf2AlIn crystal, as listed in Alexandria via LeMat-Bulk.

Properties
Relative energy among the computed polymorphs in kcal/mol of atoms: 0.93
Energy in eV per atom: -6.82
Formation enthalpy at 0 K in eV/atom: -0.23

Cell lengths 4.151, 4.151, 9.576 Å; angles 90.00, 90.00, 90.00 degrees
Space group I-4m2 (No. 119)
Symmetry-distinct sites (fractional):
Hf 0.000 0.000 0.000 [2 per cell]
Hf 0.000 0.500 0.250 [2 per cell]
Al 0.000 0.000 0.500 [2 per cell]
In 0.000 0.500 0.750 [2 per cell]

=====

First-principles (PBE) data for a relaxed SbPdNF2 crystal, as listed in Alexandria via LeMat-Bulk.

Properties
Relative energy among the computed polymorphs in kcal/mol of atoms: 4.27
Energy in eV per atom: -4.32
Energy relative to the elements, uncorrected in kJ/mol of formula units: -21

Cell lengths 4.264, 4.264, 4.012 Å; angles 90.00, 90.00, 90.00 degrees
Space group P4/mmm (No. 123)
Symmetry-distinct sites (fractional):
Sb 0.000 0.000 0.000 [1 per cell]
Pd 0.500 0.500 0.500 [1 per cell]
N 0.500 0.500 0.000 [1 per cell]
F 0.000 0.500 0.500 [2 per cell]

=====

First-principles (PBE) data for a relaxed SmEr3Hg12 crystal, as listed in Alexandria via LeMat-Bulk.

Properties
Energy in eV per atom: -1.68
Formation enthalpy at 0 K in eV/atom: -0.31

Cell lengths 4.514, 4.514, 19.220 Å; angles 90.00, 90.00, 90.00 degrees
Space group P4/mmm (No. 123)
Symmetry-distinct sites (fractional):
Sm 0.000 0.000 0.000 [1 per cell]
Er 0.000 0.000 0.252 [2 per cell]
Er 0.000 0.000 0.500 [1 per cell]
Hg 0.000 0.500 0.128 [4 per cell]
Hg 0.000 0.500 0.376 [4 per cell]
Hg 0.500 0.500 0.000 [1 per cell]
Hg 0.500 0.500 0.252 [2 per cell]
Hg 0.500 0.500 0.500 [1 per cell]